A relaxed CrSn3Te crystal. Source: Alexandria, functional GGA-PBE.

The space group is Pm-3m (No. 221) and the conventional cell measures 5.1627, 5.1627 and 5.1627 Å, with angles of 90.00, 90.00 and 90.00 degrees. Symmetry generates all atoms from Cr at (0.0000, 0.0000, 0.0000), Sn at (0.0000, 0.0000, 0.5000) and Te at (0.5000, 0.5000, 0.5000).

The calculation puts the uncorrected formation energy at 0.1837 eV per atom. The total energy comes out at -4.77 eV/atom. The energy above the most stable polymorph in this dataset is 0 meV per atom.

A relaxed La5P4O crystal. Source: Alexandria, functional GGA-PBE.

The space group is I4 (No. 79) and the conventional cell measures 9.3119, 9.3119 and 5.9919 Å, with angles of 90.00, 90.00 and 90.00 degrees. Symmetry generates all atoms from La at (0.0000, 0.0000, 0.0000), La at (0.0970, 0.2912, 0.4462), P at (0.0961, 0.3004, 0.9462) and O at (0.0000, 0.0000, 0.3826).

The calculation puts the uncorrected formation energy at -1.8024 eV per atom. The total energy comes out at -6.93 eV/atom. The energy above the most stable polymorph in this dataset is 0 meV per atom.

A relaxed CaTb3Cu crystal. Source: Alexandria, functional GGA-PBE.

The space group is Pm-3m (No. 221) and the conventional cell measures 5.4808, 5.4808 and 5.4808 Å, with angles of 90.00, 90.00 and 90.00 degrees. Symmetry generates all atoms from Ca at (0.0000, 0.0000, 0.0000), Tb at (0.0000, 0.5000, 0.5000) and Cu at (0.5000, 0.5000, 0.5000).

The total energy comes out at -3.87 eV/atom. As for the calculated formation energy: 0.1245 eV per atom.

A relaxed CePuHg crystal. Source: Alexandria, functional GGA-PBE.

The space group is Immm (No. 71) and the conventional cell measures 3.4553, 6.4056 and 13.5855 Å, with angles of 90.00, 90.00 and 90.00 degrees. Symmetry generates all atoms from Ce at (0.0000, 0.0000, 0.1594), Pu at (0.0000, 0.5000, 0.1868) and Hg at (0.0000, 0.2286, 0.5000).

The total energy comes out at -6.89 eV/atom. As for the calculated formation energy: -0.0328 eV per atom. The energy above the most stable polymorph in this dataset is 131 meV per atom.

A relaxed Tb3Si2Ni4 crystal. Source: Alexandria, functional GGA-PBE.

The space group is C2/m (No. 12) and the conventional cell measures 10.2036, 4.0616 and 8.1213 Å, with angles of 90.00, 111.04 and 90.00 degrees. Symmetry generates all atoms from Tb at (0.0000, 0.0000, 0.0000), Tb at (0.1304, 0.5000, 0.6931), Si at (0.1590, 0.5000, 0.3163), Ni at (0.1215, 0.0000, 0.4322) and Ni at (0.2223, 0.5000, 0.0663).

The calculation puts the uncorrected formation energy at -0.6516 eV per atom. The total energy comes out at -5.97 eV/atom.

A relaxed LaScRuO6 crystal. Source: Alexandria, functional GGA-PBE.

The space group is P312 (No. 149) and the conventional cell measures 5.3202, 5.3202 and 5.1663 Å, with angles of 90.00, 90.00 and 120.00 degrees. Symmetry generates all atoms from La at (0.0000, 0.0000, 0.0000), Sc at (0.3333, 0.6667, 0.5000), Ru at (0.6667, 0.3333, 0.5000) and O at (0.3748, 0.0230, 0.7129).

The calculation puts the uncorrected formation energy at -2.2895 eV per atom. The total energy comes out at -7.88 eV/atom.

A relaxed BiTeRhN2 crystal. Source: Alexandria, functional GGA-PBE.

The space group is P4/mmm (No. 123) and the conventional cell measures 4.1648, 4.1648 and 5.4210 Å, with angles of 90.00, 90.00 and 90.00 degrees. Symmetry generates all atoms from Bi at (0.0000, 0.0000, 0.0000), Te at (0.5000, 0.5000, 0.0000), Rh at (0.5000, 0.5000, 0.5000) and N at (0.0000, 0.5000, 0.5000).

The calculation puts the uncorrected formation energy at 1.1921 eV per atom. The total energy comes out at -5.01 eV/atom. The energy above the most stable polymorph in this dataset is 0 meV per atom.

A relaxed LaNiSn2 crystal. Source: Alexandria, functional GGA-PBE.

The space group is Fm-3m (No. 225) and the conventional cell measures 7.2477, 7.2477 and 7.2477 Å, with angles of 90.00, 90.00 and 90.00 degrees. Symmetry generates all atoms from La at (0.0000, 0.0000, 0.0000), Ni at (0.0000, 0.0000, 0.5000) and Sn at (0.2500, 0.2500, 0.2500).

The total energy comes out at -4.83 eV/atom. As for the calculated formation energy: -0.1525 eV per atom.

A relaxed YPaPt crystal. Source: Alexandria, functional GGA-PBE.

The space group is Pnma (No. 62) and the conventional cell measures 5.7223, 3.3863 and 14.9274 Å, with angles of 90.00, 90.00 and 90.00 degrees. Symmetry generates all atoms from Y at (0.1383, 0.2500, 0.1939), Pa at (0.2064, 0.7500, 0.9805) and Pt at (0.0369, 0.7500, 0.3624).

The total energy comes out at -7.90 eV/atom. As for the calculated formation energy: -0.5668 eV per atom. The energy above the most stable polymorph in this dataset is 0 meV per atom.

A relaxed TbPr4Ho2Er crystal. Source: Alexandria, functional GGA-PBE.

The space group is Pmmm (No. 47) and the conventional cell measures 5.1531, 5.1818 and 10.0445 Å, with angles of 90.00, 90.00 and 90.00 degrees. Symmetry generates all atoms from Tb at (0.0000, 0.0000, 0.0000), Pr at (0.0000, 0.5000, 0.2508), Pr at (0.5000, 0.0000, 0.2510), Ho at (0.0000, 0.0000, 0.5000), Ho at (0.5000, 0.5000, 0.0000) and Er at (0.5000, 0.5000, 0.5000).

The total energy comes out at -4.67 eV/atom. As for the calculated formation energy: 0.0169 eV per atom.

A relaxed Er5Al2Sb crystal. Source: Alexandria, functional GGA-PBE.

The space group is I4/mcm (No. 140) and the conventional cell measures 8.1282, 8.1282 and 12.6482 Å, with angles of 90.00, 90.00 and 90.00 degrees. Symmetry generates all atoms from Er at (0.0000, 0.0000, 0.0000), Er at (0.1571, 0.3429, 0.1465), Al at (0.1388, 0.3612, 0.5000) and Sb at (0.0000, 0.0000, 0.2500).

The calculation puts the uncorrected formation energy at -0.5016 eV per atom. The total energy comes out at -4.80 eV/atom.

A relaxed Ba2Li3Cd12Hg crystal. Source: Alexandria, functional GGA-PBE.

The space group is R-3m (No. 166, hexagonal axes) and the conventional cell measures 9.3199, 9.3199 and 22.8763 Å, with angles of 90.00, 90.00 and 120.00 degrees. Symmetry generates all atoms from Ba at (0.0000, 0.0000, 0.0924), Li at (0.0000, 0.5000, 0.0000), Cd at (0.0030, 0.5015, 0.8681), Cd at (0.1026, 0.5513, 0.3915) and Hg at (0.0000, 0.0000, 0.5000).

The total energy comes out at -1.11 eV/atom. As for the calculated formation energy: 0.0451 eV per atom.

A relaxed Ac2ZnAs3Ir4 crystal. Source: Alexandria, functional GGA-PBE.

The space group is P-4m2 (No. 115) and the conventional cell measures 4.3262, 4.3262 and 10.4881 Å, with angles of 90.00, 90.00 and 90.00 degrees. Symmetry generates all atoms from Ac at (0.0000, 0.5000, 0.2442), Zn at (0.5000, 0.5000, 0.0000), As at (0.0000, 0.0000, 0.0000), As at (0.0000, 0.5000, 0.6342), Ir at (0.0000, 0.0000, 0.5000), Ir at (0.0000, 0.5000, 0.8702) and Ir at (0.5000, 0.5000, 0.5000).

The total energy comes out at -6.57 eV/atom. As for the calculated formation energy: -0.6841 eV per atom.

A relaxed KTe2Rh crystal. Source: Alexandria, functional GGA-PBE.

The space group is I-4m2 (No. 119) and the conventional cell measures 4.4259, 4.4259 and 10.1700 Å, with angles of 90.00, 90.00 and 90.00 degrees. Symmetry generates all atoms from K at (0.0000, 0.0000, 0.0000), Te at (0.0000, 0.0000, 0.5000), Te at (0.0000, 0.5000, 0.2500) and Rh at (0.0000, 0.5000, 0.7500).

The calculation puts the uncorrected formation energy at 0.1829 eV per atom. The total energy comes out at -3.50 eV/atom.

A relaxed CaCdBi2N crystal. Source: Alexandria, functional GGA-PBE.

The space group is P4/mmm (No. 123) and the conventional cell measures 5.0615, 5.0615 and 4.7180 Å, with angles of 90.00, 90.00 and 90.00 degrees. Symmetry generates all atoms from Ca at (0.0000, 0.0000, 0.0000), Cd at (0.5000, 0.5000, 0.0000), Bi at (0.0000, 0.5000, 0.5000) and N at (0.0000, 0.0000, 0.5000).

The calculation puts the uncorrected formation energy at -0.0561 eV per atom. The total energy comes out at -3.86 eV/atom.

A relaxed V6SiGe2 crystal. Source: Alexandria, functional GGA-PBE.

The space group is Immm (No. 71) and the conventional cell measures 7.5595, 7.6746 and 8.7881 Å, with angles of 90.00, 90.00 and 90.00 degrees. Symmetry generates all atoms from V at (0.0000, 0.1910, 0.2390), V at (0.1990, 0.2905, 0.0000), V at (0.2366, 0.5000, 0.3257), Si at (0.0000, 0.0000, 0.0000), Si at (0.0000, 0.0000, 0.5000), Ge at (0.0000, 0.3381, 0.5000) and Ge at (0.0000, 0.5000, 0.1404).

The calculation puts the uncorrected formation energy at -0.1534 eV per atom. The total energy comes out at -7.86 eV/atom.